# Ag2HSe (PBE, relaxed)
data_Ag2HSe
_chemical_formula_sum 'Ag8 H4 Se4'
_cell_length_a 3.835
_cell_length_b 5.727
_cell_length_c 17.600
_cell_angle_alpha 46.95
_cell_angle_beta 90.00
_cell_angle_gamma 90.00
_space_group_name_H-M_alt 'P 1'
_space_group_IT_number 1
_space_group_name_Hall 'P 1'
loop_
_atom_site_label
_atom_site_type_symbol
_atom_site_fract_x
_atom_site_fract_y
_atom_site_fract_z
Ag1 Ag 0.751 0.618 0.169
Se1 Se 0.751 0.268 0.373
Se2 Se 0.249 0.768 0.873
Ag2 Ag 0.249 0.118 0.669
H1 H 0.749 0.195 0.643
H2 H 0.749 0.305 0.857
Se3 Se 0.751 0.232 0.127
H3 H 0.251 0.695 0.143
H4 H 0.251 0.805 0.357
Ag3 Ag 0.249 0.382 0.831
Se4 Se 0.249 0.732 0.627
Ag4 Ag 0.751 0.882 0.331
Ag5 Ag 0.251 0.134 0.040
Ag6 Ag 0.749 0.634 0.540
Ag7 Ag 0.749 0.866 0.960
Ag8 Ag 0.251 0.366 0.460
# Theoretical density in Mg/m³: 6.95
# SG: P2/c (13)
# Final energy in eV per atom: -2.971
# Offset from the most stable computed form in meV per atom: 0